Entry 1:
A plane-wave DFT calculation with PBEsol was carried out for a relaxed structure of SrTcMo2.

Structure (extended XYZ):
```
4
Lattice="2.934 0.000 0.000 0.000 4.128 0.000 -1.395 0.000 6.682" Properties=species:S:1:pos:R:3 pbc="T T T"
Sr 0.000 0.000 0.000
Tc 1.763 2.064 2.206
Mo -0.214 2.064 4.401
Mo 0.771 0.000 3.263
```

Properties
Its density of states at the Fermi level is 3.75 states/eV/cell. The value obtained for the uncorrected energy is -33.841 eV per cell. The value obtained for the volume is 80.9 Å³/cell. The calculation puts the formation energy at 2.802 eV per formula unit.

Entry 2:
A plane-wave DFT calculation with PBEsol was carried out for a relaxed structure of Sr2TcMo.

Structure (extended XYZ):
```
4
Lattice="2.828 -5.272 0.000 2.828 5.272 0.000 0.000 0.000 2.839" Properties=species:S:1:pos:R:3 pbc="T T T"
Sr 1.414 2.636 0.000
Sr 1.414 -2.636 0.000
Tc 0.000 0.000 1.419
Mo 2.828 0.000 1.419
```

Properties
Its density of states at the Fermi level is 3.08 states/eV/cell. The value obtained for the uncorrected energy is -21.842 eV per cell. The value obtained for the volume is 84.7 Å³/cell. The calculation puts the formation energy at 4.873 eV per formula unit.

Entry 3:
A plane-wave DFT calculation with PBEsol was carried out for a relaxed structure of SrTcMo2.

Structure (extended XYZ):
```
4
Lattice="3.132 0.000 0.000 0.000 4.621 0.000 0.000 0.000 4.805" Properties=species:S:1:pos:R:3 pbc="T T T"
Sr 0.000 0.000 0.000
Tc 1.566 2.311 0.000
Mo 0.000 2.311 2.402
Mo 1.566 0.000 2.402
```

Properties
Its density of states at the Fermi level is 4.31 states/eV/cell. The value obtained for the uncorrected energy is -32.205 eV per cell. The value obtained for the volume is 69.5 Å³/cell. The calculation puts the formation energy at 4.437 eV per formula unit.

Entry 4:
A plane-wave DFT calculation with PBEsol was carried out for a relaxed structure of SrTcMo2.

Structure (extended XYZ):
```
4
Lattice="3.813 0.000 0.000 0.000 3.813 0.000 0.000 0.000 4.928" Properties=species:S:1:pos:R:3 pbc="T T T"
Sr 0.000 0.000 0.000
Tc 1.906 1.906 0.000
Mo 0.000 1.906 2.464
Mo 1.906 0.000 2.464
```

Properties
Its density of states at the Fermi level is 4.60 states/eV/cell. The value obtained for the uncorrected energy is -31.338 eV per cell. The value obtained for the volume is 71.6 Å³/cell. The calculation puts the formation energy at 5.304 eV per formula unit.

Entry 5:
A plane-wave DFT calculation with PBEsol was carried out for a relaxed structure of SrTcMo2.

Structure (extended XYZ):
```
4
Lattice="1.619 -2.298 0.000 1.619 2.298 0.000 0.000 0.000 9.564" Properties=species:S:1:pos:R:3 pbc="T T T"
Sr 0.000 0.000 0.000
Tc 1.619 0.000 2.666
Mo 0.000 0.000 4.675
Mo 1.619 0.000 6.742
```

Properties
Its density of states at the Fermi level is 4.18 states/eV/cell. The value obtained for the uncorrected energy is -33.810 eV per cell. The value obtained for the volume is 71.2 Å³/cell. The calculation puts the formation energy at 2.832 eV per formula unit.

Entry 6:
A plane-wave DFT calculation with PBEsol was carried out for a relaxed structure of SrTe2Mo.

Structure (extended XYZ):
```
4
Lattice="3.980 -1.913 0.000 3.980 1.913 0.000 -1.789 0.000 6.787" Properties=species:S:1:pos:R:3 pbc="T T T"
Sr 0.000 0.000 0.000
Te 0.649 0.000 4.707
Te 5.521 0.000 2.080
Mo 3.085 0.000 3.393
```

Properties
Its density of states at the Fermi level is 2.23 states/eV/cell. The value obtained for the uncorrected energy is -22.353 eV per cell. The value obtained for the volume is 103.3 Å³/cell. The uncorrected formation energy is -423.1 meV per atom.

Entry 7:
A plane-wave DFT calculation with PBEsol was carried out for a relaxed structure of Sr4TeMo.

Structure (extended XYZ):
```
6
Lattice="0.000 4.815 4.815 4.815 0.000 4.815 4.815 4.815 0.000" Properties=species:S:1:pos:R:3 pbc="T T T"
Sr 1.206 1.206 1.206
Sr 3.609 3.609 1.206
Sr 3.609 1.206 3.609
Sr 1.206 3.609 3.609
Te 7.223 7.223 7.223
Mo 4.815 4.815 4.815
```

Properties
Its density of states at the Fermi level is 6.07 states/eV/cell. The value obtained for the uncorrected energy is -17.600 eV per cell. The value obtained for the volume is 223.3 Å³/cell. The uncorrected formation energy is 842.6 meV per atom.

Entry 8:
A plane-wave DFT calculation with PBEsol was carried out for a relaxed structure of SrTe2Mo.

Structure (extended XYZ):
```
4
Lattice="2.142 1.237 6.782 -2.142 1.237 6.782 0.000 -2.473 6.782" Properties=species:S:1:pos:R:3 pbc="T T T"
Sr 0.000 0.000 0.000
Te 0.000 0.000 4.730
Te 0.000 0.000 15.616
Mo 0.000 0.000 10.173
```

Properties
Its density of states at the Fermi level is 1.51 states/eV/cell. The value obtained for the uncorrected energy is -22.475 eV per cell. The value obtained for the volume is 107.8 Å³/cell. The uncorrected formation energy is -453.5 meV per atom.

What did the fifth record say?
A plane-wave DFT calculation with PBEsol was carried out for a relaxed structure of SrTcMo2.

Structure (extended XYZ):
```
4
Lattice="1.619 -2.298 0.000 1.619 2.298 0.000 0.000 0.000 9.564" Properties=species:S:1:pos:R:3 pbc="T T T"
Sr 0.000 0.000 0.000
Tc 1.619 0.000 2.666
Mo 0.000 0.000 4.675
Mo 1.619 0.000 6.742
```

Properties
Its density of states at the Fermi level is 4.18 states/eV/cell. The value obtained for the uncorrected energy is -33.810 eV per cell. The value obtained for the volume is 71.2 Å³/cell. The calculation puts the formation energy at 2.832 eV per formula unit.